[1]
Here is an optimized crystal structure of BaFe2Si from Alexandria via LeMat-Bulk. Energies are from PBE-GGA.

ΔE_f (raw)   -9 kJ per mole of atoms
DOS(E_F)   3.94 states/eV per cell
Symmetry   R3m, No. 160
Raw total energy   -6.156 eV/atom
Magnetization   2.19 μB per formula unit

Cell lengths 4.038, 4.038, 6.333 Å; angles 71.36, 71.36, 60.00 degrees
Fractional coordinates of all 4 atoms:
Ba 0.748 0.748 0.756
Fe 0.935 0.935 0.195
Fe 0.253 0.253 0.243
Si 0.564 0.564 0.307

[2]
Here is an optimized crystal structure of ZnCrCd2 from Alexandria via LeMat-Bulk. Energies are from PBE-GGA.

DOS(E_F)   1.62 states/eV per cell
Energy relative to the elements   0.251 eV per atom
Symmetry   Pm, No. 6
Raw total energy   -2.931 eV/atom
Magnetization   3.70 μB per formula unit

Cell lengths 4.365, 2.989, 5.903 Å; angles 75.04, 90.00, 90.00 degrees
Fractional coordinates of all 4 atoms:
Cd 0.000 0.814 0.999
Cd 0.500 0.189 0.247
Cr 0.000 0.545 0.538
Zn 0.500 0.952 0.716

[3]
Here is an optimized crystal structure of Ta6Nb3W from Alexandria via LeMat-Bulk. Energies are from PBE-GGA.

Energy relative to the lowest polymorph listed for this composition   0.0000 eV per atom
DOS(E_F)   27.05 states/eV per cell
Energy relative to the elements   -0.028 eV per atom
Symmetry   P2_1/m, No. 11
Raw total energy   -11.455 eV/atom
Magnetization   0.00 μB per formula unit

Cell lengths 4.660, 8.113, 9.891 Å; angles 105.61, 90.00, 90.00 degrees
Fractional coordinates of all 20 atoms:
Ta 0.250 0.449 0.099
Ta 0.750 0.551 0.901
Ta 0.250 0.150 0.199
Ta 0.750 0.850 0.801
Ta 0.250 0.654 0.697
Ta 0.750 0.346 0.303
Ta 0.250 0.243 0.501
Ta 0.750 0.757 0.499
Ta 0.250 0.854 0.306
Ta 0.750 0.146 0.694
Ta 0.250 0.050 0.894
Ta 0.750 0.950 0.106
Nb 0.250 0.547 0.398
Nb 0.750 0.453 0.602
Nb 0.250 0.352 0.801
Nb 0.750 0.648 0.199
Nb 0.250 0.753 0.999
Nb 0.750 0.247 0.001
W 0.250 0.949 0.600
W 0.750 0.051 0.400

[4]
Here is an optimized crystal structure of AlTc2Ag from Alexandria via LeMat-Bulk. Energies are from PBE-GGA.

DOS(E_F)   3.45 states/eV per cell
Energy relative to the elements   0.007 eV per atom
Symmetry   R3m, No. 160
Raw total energy   -6.825 eV/atom
Magnetization   0.00 μB per formula unit

Cell lengths 9.147, 9.147, 9.147 Å; angles 17.69, 17.69, 17.69 degrees
Fractional coordinates of all 4 atoms:
Tc 0.000 0.000 0.000
Tc 0.257 0.257 0.257
Ag 0.498 0.498 0.498
Al 0.746 0.746 0.746

- Which value of magnetization does entry 2 give?
  3.70 μB per formula unit

- DOS(E_F) of number 3 (Ta6Nb3W)?
  27.05 states/eV per cell

- The lowest raw total energy belongs to which entry?
  Ta6Nb3W